#1
VASP calculation (GGA-PBE) on an optimized crystal structure of AcErCdAg.

Values from the calculation:
Fermi-level density of states ... 3.568 states/eV/cell

Lattice parameters (Å, degrees): 3.7990 3.7990 7.8076 90.00 90.00 90.00
Space group P4mm (No. 99)
Inequivalent atoms, fractional coordinates:
Ac 0.0000 0.0000 0.0000 [1 per cell]
Er 0.0000 0.0000 0.4830 [1 per cell]
Cd 0.5000 0.5000 0.7091 [1 per cell]
Ag 0.5000 0.5000 0.2867 [1 per cell]


#2
VASP calculation (GGA-PBE) on an optimized crystal structure of AcErCdAg.

Values from the calculation:
Fermi-level density of states ... 8.808 states/eV/cell

Lattice parameters (Å, degrees): 7.7115 7.7115 7.7115 90.00 90.00 90.00
Space group F-43m (No. 216)
Inequivalent atoms, fractional coordinates:
Ac 0.0000 0.0000 0.0000 [4 per cell]
Er 0.0000 0.0000 0.5000 [4 per cell]
Cd 0.2500 0.2500 0.2500 [4 per cell]
Ag 0.2500 0.2500 0.7500 [4 per cell]


Most stable pick: #1. Distance to second place: 43 meV per atom.


#1
VASP calculation (GGA-PBE) on an optimized crystal structure of AcNdCdAg.

Values from the calculation:
Fermi-level density of states ... 3.671 states/eV/cell

Lattice parameters (Å, degrees): 3.9122 3.9122 7.8208 90.00 90.00 90.00
Space group P4mm (No. 99)
Inequivalent atoms, fractional coordinates:
Ac 0.0000 0.0000 0.0000 [1 per cell]
Nd 0.0000 0.0000 0.4848 [1 per cell]
Cd 0.5000 0.5000 0.7218 [1 per cell]
Ag 0.5000 0.5000 0.2664 [1 per cell]


#2
VASP calculation (GGA-PBE) on an optimized crystal structure of AcNdCdAg.

Values from the calculation:
Fermi-level density of states ... 14.914 states/eV/cell

Lattice parameters (Å, degrees): 7.8435 7.8435 7.8435 90.00 90.00 90.00
Space group F-43m (No. 216)
Inequivalent atoms, fractional coordinates:
Ac 0.0000 0.0000 0.0000 [4 per cell]
Nd 0.0000 0.0000 0.5000 [4 per cell]
Cd 0.2500 0.2500 0.7500 [4 per cell]
Ag 0.2500 0.2500 0.2500 [4 per cell]


Most stable pick: #1. Distance to second place: 22 meV per atom.


#1
VASP calculation (GGA-PBE) on an optimized crystal structure of AcPrCdAg.

Values from the calculation:
Fermi-level density of states ... 3.639 states/eV/cell

Lattice parameters (Å, degrees): 3.9305 3.9305 7.8315 90.00 90.00 90.00
Space group P4mm (No. 99)
Inequivalent atoms, fractional coordinates:
Ac 0.0000 0.0000 0.0000 [1 per cell]
Pr 0.0000 0.0000 0.4852 [1 per cell]
Cd 0.5000 0.5000 0.7246 [1 per cell]
Ag 0.5000 0.5000 0.2620 [1 per cell]


#2
VASP calculation (GGA-PBE) on an optimized crystal structure of AcPrCdAg.

Values from the calculation:
Fermi-level density of states ... 15.311 states/eV/cell

Lattice parameters (Å, degrees): 7.8684 7.8684 7.8684 90.00 90.00 90.00
Space group F-43m (No. 216)
Inequivalent atoms, fractional coordinates:
Ac 0.0000 0.0000 0.0000 [4 per cell]
Pr 0.0000 0.0000 0.5000 [4 per cell]
Cd 0.2500 0.2500 0.2500 [4 per cell]
Ag 0.2500 0.2500 0.7500 [4 per cell]


Most stable pick: #1. Distance to second place: 19 meV per atom.


#1
VASP calculation (GGA-PBE) on an optimized crystal structure of AcTbCdAg.

Values from the calculation:
Fermi-level density of states ... 11.110 states/eV/cell

Lattice parameters (Å, degrees): 7.7509 7.7509 7.7509 90.00 90.00 90.00
Space group F-43m (No. 216)
Inequivalent atoms, fractional coordinates:
Ac 0.0000 0.0000 0.0000 [4 per cell]
Tb 0.0000 0.0000 0.5000 [4 per cell]
Cd 0.2500 0.2500 0.2500 [4 per cell]
Ag 0.2500 0.2500 0.7500 [4 per cell]


#2
VASP calculation (GGA-PBE) on an optimized crystal structure of AcTbCdAg.

Values from the calculation:
Fermi-level density of states ... 3.584 states/eV/cell

Lattice parameters (Å, degrees): 3.8343 3.8343 7.8110 90.00 90.00 90.00
Space group P4mm (No. 99)
Inequivalent atoms, fractional coordinates:
Ac 0.0000 0.0000 0.0000 [1 per cell]
Tb 0.0000 0.0000 0.4837 [1 per cell]
Cd 0.5000 0.5000 0.7128 [1 per cell]
Ag 0.5000 0.5000 0.2821 [1 per cell]


Most stable pick: #2. Distance to second place: 38 meV per atom.


#1
VASP calculation (GGA-PBE) on an optimized crystal structure of AcCe2Ag.

Values from the calculation:
Fermi-level density of states ... 11.612 states/eV/cell

Lattice parameters (Å, degrees): 5.7669 5.7669 3.5952 90.00 90.00 90.00
Space group P4/mmm (No. 123)
Inequivalent atoms, fractional coordinates:
Ac 0.0000 0.0000 0.0000 [1 per cell]
Ce 0.0000 0.5000 0.5000 [2 per cell]
Ag 0.5000 0.5000 0.0000 [1 per cell]


#2
VASP calculation (GGA-PBE) on an optimized crystal structure of AcCe2Ag.

Values from the calculation:
Fermi-level density of states ... 34.304 states/eV/cell

Lattice parameters (Å, degrees): 3.4609 3.4609 35.7899 90.00 90.00 120.00
Space group R-3m (No. 166, hexagonal axes)
Inequivalent atoms, fractional coordinates:
Ac 0.0000 0.0000 0.0000 [3 per cell]
Ce 0.0000 0.0000 0.0970 [6 per cell]
Ag 0.0000 0.0000 0.5000 [3 per cell]


Most stable pick: #1. Distance to second place: 119 meV per atom.


#1
VASP calculation (GGA-PBE) on an optimized crystal structure of Ac2AgCl.

Values from the calculation:
Fermi-level density of states ... 6.204 states/eV/cell

Lattice parameters (Å, degrees): 4.5105 4.5105 23.3120 90.00 90.00 120.00
Space group R3m (No. 160, hexagonal axes)
Inequivalent atoms, fractional coordinates:
Ac 0.0000 0.0000 0.0000 [3 per cell]
Ac 0.0000 0.0000 0.1793 [3 per cell]
Ag 0.0000 0.0000 0.5898 [3 per cell]
Cl 0.0000 0.0000 0.4195 [3 per cell]


#2
VASP calculation (GGA-PBE) on an optimized crystal structure of Ac2AgCl.

Values from the calculation:
Fermi-level density of states ... 3.775 states/eV/cell

Lattice parameters (Å, degrees): 3.7493 3.7493 8.7299 90.00 90.00 90.00
Space group P4/mmm (No. 123)
Inequivalent atoms, fractional coordinates:
Ac 0.0000 0.0000 0.2339 [2 per cell]
Ag 0.5000 0.5000 0.0000 [1 per cell]
Cl 0.5000 0.5000 0.5000 [1 per cell]


Most stable pick: #1. Distance to second place: 51 meV per atom.